VASP calculation (PBE) on a geometry-optimized Y2IrCl structure.

Cell lengths 6.4575, 6.4575, 6.4575 Å; angles 144.53, 144.53, 51.04 degrees
Closest atoms and distances in Å follow each position.
Atoms (fractional coordinates):
Cl 0.5000 0.5000 0.0000  4 Y 2.78
Ir 0.7500 0.2500 0.5000  4 Y 2.78
Y 0.0000 0.0000 0.0000  4 Cl 2.78
Y 0.2500 0.7500 0.5000  4 Ir 2.78

- Crystal system: tetragonal
- Formation energy (no corrections): -0.659 eV per atom
- SG: I-4m2 (119)